The following is a DFT calculation (PBE-GGA) of Sm3ThSe4 after structural relaxation.

Properties
Raw formation energy   -1.739 eV per atom
Uncorrected energy   -49.4 eV/f.u.
Relative energy among the computed polymorphs   0.0 meV/atom
Space-group type   Cmmm (65)

a b c (Å): 4.1586 7.2548 7.2548
angles (deg): 109.28 90.00 90.00
Atoms (fractional coordinates):
Sm: 0.0000 0.5000 0.0000
Sm: 0.0000 0.0000 0.5000
Sm: 0.5000 0.5000 0.5000
Se: 0.0000 0.7467 0.7467
Th: 0.5000 0.0000 0.0000
Se: 0.0000 0.2533 0.2533
Se: 0.5000 0.7487 0.2513
Se: 0.5000 0.2513 0.7487